{"formula": "Na3Mg3WS8", "functional": "PBE-GGA", "state": "optimized geometry", "energy_ev_per_cell": -69.1, "raw_formation_energy_kj_per_mol_atoms": -92.2, "sg": "No. 12", "lattice": [[7.318, 0.000, 0.000], [-3.659, 6.365, -0.030], [0.000, -4.225, 6.827]], "species": ["Na", "Na", "Na", "Mg", "Mg", "Mg", "W", "S", "S", "S", "S", "S", "S", "S", "S"], "fractional_positions": [[0.000, 0.000, 0.000], [0.000, 0.500, 0.000], [0.500, 0.500, 0.000], [0.500, 0.000, 0.500], [0.500, 0.500, 0.500], [0.000, 0.500, 0.500], [0.000, 0.000, 0.500], [0.263, 0.525, 0.288], [0.737, 0.475, 0.712], [0.777, 0.553, 0.293], [0.223, 0.447, 0.707], [0.776, 0.017, 0.294], [0.224, 0.983, 0.706], [0.240, 0.017, 0.294], [0.760, 0.983, 0.706]]}